Entry 1:
## SrZr4Pt (GGA-PBE)

Data for SrZr4Pt after structural relaxation.

Structure (CIF):
```
data_SrZr4Pt
_chemical_formula_sum 'Sr4 Zr16 Pt4'
_symmetry_space_group_name_H-M 'F -4 3 m'
_symmetry_Int_Tables_number 216
_symmetry_space_group_name_Hall 'F -4 2 3'
_cell_length_a 8.2999
_cell_length_b 8.2999
_cell_length_c 8.2999
_cell_angle_alpha 90.00
_cell_angle_beta 90.00
_cell_angle_gamma 90.00
loop_
_atom_site_label
_atom_site_fract_x
_atom_site_fract_y
_atom_site_fract_z
Sr1 0.0000 0.0000 0.0000
Zr1 0.1239 0.1239 0.6239
Pt1 0.2500 0.2500 0.2500
```

## Properties
Total DFT energy (no corrections) = -6.651 eV/atom
N(E_F) = 5.3 states/eV/f.u.
Size of the total moment = 0.0 μB/cell


Entry 2:
## NdSb3 (GGA-PBE)

Data for NdSb3 after structural relaxation.

Structure (CIF):
```
data_NdSb3
_chemical_formula_sum 'Nd2 Sb6'
_symmetry_space_group_name_H-M 'I 4/m m m'
_symmetry_Int_Tables_number 139
_symmetry_space_group_name_Hall '-I 4 2'
_cell_length_a 4.5429
_cell_length_b 4.5429
_cell_length_c 10.9297
_cell_angle_alpha 90.00
_cell_angle_beta 90.00
_cell_angle_gamma 90.00
loop_
_atom_site_label
_atom_site_fract_x
_atom_site_fract_y
_atom_site_fract_z
Nd1 0.0000 0.0000 0.0000
Sb1 0.0000 0.0000 0.5000
Sb2 0.0000 0.5000 0.2500
```

## Properties
Formation energy without anion corrections = -0.500 eV per atom
N(E_F) = 2.0 states/eV/f.u.
Size of the total moment = 0.0 μB/cell